Record 1
# Ac6RuRh2Br3 | Alexandria via LeMat-Bulk | GGA-PBE | relaxed
# energy relative to the elements, uncorrected: -24.53 kcal/mol of atoms
# final energy: -5.534 eV/atom
# density of states at the Fermi level: 0.428 states/eV/atom
# magnetization: 0.00 μB per atom
data_Ac6RuRh2Br3
_symmetry_space_group_name_H-M 'C 1 2/m 1'
_symmetry_Int_Tables_number 12
_cell_length_a 20.792
_cell_length_b 4.317
_cell_length_c 9.697
_cell_angle_alpha 90.00
_cell_angle_beta 112.33
_cell_angle_gamma 90.00
loop_
_symmetry_equiv_pos_as_xyz
'x,y,z'
'-x,-y,-z'
'-x,y,-z'
'x,-y,z'
'x+1/2,y+1/2,z'
'-x+1/2,-y+1/2,-z'
'-x+1/2,y+1/2,-z'
'x+1/2,-y+1/2,z'
loop_
_atom_site_label
_atom_site_fract_x
_atom_site_fract_y
_atom_site_fract_z
_atom_site_occupancy
Ac1 0.011 0.000 0.216 1
Ac2 0.152 0.500 0.111 1
Ac3 0.179 0.500 0.554 1
Ru1 0.000 0.500 0.000 1
Rh1 0.168 0.000 0.336 1
Br1 0.000 0.500 0.500 1
Br2 0.166 0.000 0.834 1

---

Record 2
# CrH2Ru2 | Alexandria via LeMat-Bulk | GGA-PBE | relaxed
# energy above the lowest structure with this stoichiometry: 0 meV/atom
# final energy: -6.949 eV/atom
# density of states at the Fermi level: 0.730 states/eV/atom
# magnetization: 0.00 μB per atom
data_CrH2Ru2
_symmetry_space_group_name_H-M 'P -3 m 1'
_symmetry_Int_Tables_number 164
_symmetry_space_group_name_Hall '-P 3 2"'
_cell_length_a 2.7350
_cell_length_b 2.7350
_cell_length_c 6.6899
_cell_angle_alpha 90.00
_cell_angle_beta 90.00
_cell_angle_gamma 120.00
loop_
_atom_site_label
_atom_site_fract_x
_atom_site_fract_y
_atom_site_fract_z
_atom_site_occupancy
Cr1 0.0000 0.0000 0.0000 1
H1 0.3333 0.6667 0.1489 1
Ru1 0.3333 0.6667 0.6661 1

---

Record 3
# Cs2RbHoCl6 | Alexandria via LeMat-Bulk | GGA-PBE | relaxed
# energy relative to the elements, uncorrected: -50.01 kcal/mol of atoms
# final energy: -4.002 eV/atom
# density of states at the Fermi level: 0.000 states/eV/atom
# magnetization: 0.00 μB per atom
data_Cs2RbHoCl6
_symmetry_space_group_name_H-M 'P 1 21/c 1'
_symmetry_Int_Tables_number 14
_cell_length_a 7.987
_cell_length_b 8.278
_cell_length_c 13.933
_cell_angle_alpha 90.00
_cell_angle_beta 124.96
_cell_angle_gamma 90.00
loop_
_symmetry_equiv_pos_as_xyz
'x,y,z'
'-x,-y,-z'
'-x,y+1/2,-z+1/2'
'x,-y+1/2,z+1/2'
loop_
_atom_site_label
_atom_site_fract_x
_atom_site_fract_y
_atom_site_fract_z
_atom_site_occupancy
Cs1 0.233 0.057 0.249 1
Rb1 0.000 0.000 0.500 1
Ho1 0.500 0.000 0.000 1
Cl1 0.193 0.180 0.960 1
Cl2 0.276 0.736 0.952 1
Cl3 0.362 0.027 0.777 1

---

Record 4
# CaTbRhPb | Alexandria via LeMat-Bulk | GGA-PBE | relaxed
# final energy: -4.864 eV/atom
# density of states at the Fermi level: 0.572 states/eV/atom
# magnetization: 0.00 μB per atom
data_CaTbRhPb
_symmetry_space_group_name_H-M 'F -4 3 m'
_symmetry_Int_Tables_number 216
_symmetry_space_group_name_Hall 'F -4 2 3'
_cell_length_a 7.307
_cell_length_b 7.307
_cell_length_c 7.307
_cell_angle_alpha 90.00
_cell_angle_beta 90.00
_cell_angle_gamma 90.00
loop_
_atom_site_label
_atom_site_fract_x
_atom_site_fract_y
_atom_site_fract_z
_atom_site_occupancy
Ca1 0.000 0.000 0.000 1
Tb1 0.000 0.000 0.500 1
Rh1 0.250 0.250 0.250 1
Pb1 0.250 0.250 0.750 1

---

Record 5
# Ac2NbSi2N6 | Alexandria via LeMat-Bulk | GGA-PBE | relaxed
# energy relative to the elements, uncorrected: -22.35 kcal/mol of atoms
# final energy: -8.159 eV/atom
# density of states at the Fermi level: 0.151 states/eV/atom
# magnetization: 0.05 μB per atom
data_Ac2NbSi2N6
_symmetry_space_group_name_H-M 'R -3 m'
_symmetry_Int_Tables_number 166
_symmetry_space_group_name_Hall '-R 3 2"'
_cell_length_a 5.7598
_cell_length_b 5.7598
_cell_length_c 16.4474
_cell_angle_alpha 90.00
_cell_angle_beta 90.00
_cell_angle_gamma 120.00
loop_
_atom_site_label
_atom_site_fract_x
_atom_site_fract_y
_atom_site_fract_z
_atom_site_occupancy
Ac1 0.0000 0.0000 0.2243 1
Nb1 0.0000 0.0000 0.0000 1
Si1 0.0000 0.0000 0.4289 1
N1 0.0019 0.5009 0.7449 1

---

Record 6
# CsAsI4 | Alexandria via LeMat-Bulk | GGA-PBE | relaxed
# energy relative to the elements, uncorrected: -14.11 kcal/mol of atoms
# energy above the lowest structure with this stoichiometry: 4 meV/atom
# final energy: -2.562 eV/atom
# density of states at the Fermi level: 0.000 states/eV/atom
# magnetization: 0.00 μB per atom
data_CsAsI4
_symmetry_space_group_name_H-M 'C 1 2/c 1'
_symmetry_Int_Tables_number 15
_cell_length_a 8.163
_cell_length_b 20.006
_cell_length_c 9.105
_cell_angle_alpha 90.00
_cell_angle_beta 110.03
_cell_angle_gamma 90.00
loop_
_symmetry_equiv_pos_as_xyz
'x,y,z'
'-x,-y,-z'
'-x,y,-z+1/2'
'x,-y,z+1/2'
'x+1/2,y+1/2,z'
'-x+1/2,-y+1/2,-z'
'-x+1/2,y+1/2,-z+1/2'
'x+1/2,-y+1/2,z+1/2'
loop_
_atom_site_label
_atom_site_fract_x
_atom_site_fract_y
_atom_site_fract_z
_atom_site_occupancy
Cs1 0.000 0.144 0.250 1
As1 0.000 0.385 0.250 1
I1 0.010 0.309 0.999 1
I2 0.211 0.036 0.636 1

---

Record 7
# LiNi3Ru | Alexandria via LeMat-Bulk | GGA-PBE | relaxed
# energy above the lowest structure with this stoichiometry: 0 meV/atom
# final energy: -5.641 eV/atom
# density of states at the Fermi level: 1.340 states/eV/atom
# magnetization: 0.00 μB per atom
data_LiNi3Ru
_symmetry_space_group_name_H-M 'C 1 2/m 1'
_symmetry_Int_Tables_number 12
_cell_length_a 13.353
_cell_length_b 2.576
_cell_length_c 7.160
_cell_angle_alpha 90.00
_cell_angle_beta 105.65
_cell_angle_gamma 90.00
loop_
_symmetry_equiv_pos_as_xyz
'x,y,z'
'-x,-y,-z'
'-x,y,-z'
'x,-y,z'
'x+1/2,y+1/2,z'
'-x+1/2,-y+1/2,-z'
'-x+1/2,y+1/2,-z'
'x+1/2,-y+1/2,z'
loop_
_atom_site_label
_atom_site_fract_x
_atom_site_fract_y
_atom_site_fract_z
_atom_site_occupancy
Li1 0.102 0.000 0.049 1
Ni1 0.001 0.500 0.256 1
Ni2 0.199 0.500 0.351 1
Ni3 0.203 0.500 0.850 1
Ru1 0.103 0.000 0.554 1

---

Record 8
# LiSi2Os | Alexandria via LeMat-Bulk | GGA-PBE | relaxed
# energy relative to the elements, uncorrected: -3.54 kcal/mol of atoms
# energy above the lowest structure with this stoichiometry: 103 meV/atom
# final energy: -6.151 eV/atom
# density of states at the Fermi level: 0.536 states/eV/atom
# magnetization: 0.00 μB per atom
data_LiSi2Os
_symmetry_space_group_name_H-M 'P 4 m m'
_symmetry_Int_Tables_number 99
_cell_length_a 3.152
_cell_length_b 3.152
_cell_length_c 5.101
_cell_angle_alpha 90.00
_cell_angle_beta 90.00
_cell_angle_gamma 90.00
loop_
_symmetry_equiv_pos_as_xyz
'x,y,z'
'-y,x,z'
'-x,-y,z'
'y,-x,z'
'-x,y,z'
'y,x,z'
'x,-y,z'
'-y,-x,z'
loop_
_atom_site_label
_atom_site_fract_x
_atom_site_fract_y
_atom_site_fract_z
_atom_site_occupancy
Li1 0.000 0.000 0.000 1
Si1 0.000 0.000 0.503 1
Si2 0.500 0.500 0.775 1
Os1 0.500 0.500 0.278 1